1.
KCdICl2: optimized geometry, GGA-PBE.

Properties
E = -0.1988 Ry/atom
size of the total moment = 0.0000 μB per atom
N(E_F) = 0.000 states/eV/atom
calculated volume = 657 Å³ per cell
crystal system = orthorhombic
energy above the most stable polymorph in this dataset = 0 kJ/mol of formula units
uncorrected formation energy = -1.253 eV per atom

abc: 4.6007 16.0633 8.8864
angles: 90.00 90.00 90.00
Last column: nearest neighbours and their distance in Å.
Space group Cmcm (No. 63)
Symmetry-distinct sites (fractional):
K 0.0000 0.2174 0.2500 x4  6 Cl 3.21
Cd 0.0000 0.5000 0.0000 x4  2 Cl 2.47
I 0.0000 0.0182 0.7500 x4  4 Cd 3.21
Cl 0.0000 0.3466 0.5261 x8  1 Cd 2.47

2.
Mo2AsBr: optimized geometry, GGA-PBE.

Properties
E = -0.4968 Ry/atom
size of the total moment = 0.0000 μB per atom
N(E_F) = 0.590 states/eV/atom
calculated volume = 183 Å³ per cell
crystal system = monoclinic
energy above the most stable polymorph in this dataset = 40 kJ/mol of formula units
uncorrected formation energy = 0.236 eV per atom

abc: 8.8356 3.2738 7.4707
angles: 90.00 121.94 90.00
Last column: nearest neighbours and their distance in Å.
Space group C2/m (No. 12)
Symmetry-distinct sites (fractional):
Mo 0.2227 0.0000 0.3643 x4  2 Mo 2.45, 3 As 2.65-2.66
As 0.0000 0.0000 0.5000 x2  6 Mo 2.65-2.66
Br 0.0000 0.5000 0.0000 x2  4 Mo 2.88

3.
Cu2IrPt: optimized geometry, GGA-PBE.

Properties
E = -0.3842 Ry/atom
size of the total moment = 0.0000 μB per atom
N(E_F) = 1.484 states/eV/atom
calculated volume = 241 Å³ per cell
crystal system = tetragonal
energy above the most stable polymorph in this dataset = 227 kJ/mol of formula units

abc: 6.8451 6.8451 5.1441
angles: 90.00 90.00 90.00
Last column: nearest neighbours and their distance in Å.
Space group I-42d (No. 122)
Symmetry-distinct sites (fractional):
Cu 0.2467 0.2500 0.1250 x8  2 Ir 2.49, 2 Pt 2.52, 2 Cu 2.57
Ir 0.0000 0.0000 0.0000 x4  4 Cu 2.49, 2 Pt 2.57
Pt 0.0000 0.0000 0.5000 x4  4 Cu 2.52, 2 Ir 2.57

4.
Li3Ni2: optimized geometry, GGA-PBE.

Properties
E = -0.2388 Ry/atom
size of the total moment = 0.0413 μB per atom
N(E_F) = 1.148 states/eV/atom
calculated volume = 194 Å³ per cell
crystal system = trigonal
energy above the most stable polymorph in this dataset = 93 kJ/mol of formula units

abc: 4.8494 4.8494 9.5068
angles: 90.00 90.00 120.00
Last column: nearest neighbours and their distance in Å.
Space group R-3m (No. 166, hexagonal axes)
Symmetry-distinct sites (fractional):
Li 0.0000 0.5000 0.0000 x9  4 Li 2.42, 6 Ni 2.45-2.69
Ni 0.0000 0.0000 0.1213 x6  1 Ni 2.31, 3 Li 2.45

5.
SmGaI4: optimized geometry, GGA-PBE.

Properties
E = -0.2349 Ry/atom
size of the total moment = 0.0000 μB per atom
calculated volume = 479 Å³ per cell
crystal system = monoclinic
energy above the most stable polymorph in this dataset = 103 kJ/mol of formula units
uncorrected formation energy = -0.872 eV per atom

abc: 15.7294 5.5260 5.5100
angles: 90.00 90.82 90.00
Last column: nearest neighbours and their distance in Å.
Space group C2/m (No. 12)
Symmetry-distinct sites (fractional):
Sm 0.0000 0.0000 0.0000 x2  8 I 3.34-3.35
Ga 0.0000 0.5000 0.5000 x2  8 I 3.34-3.35
I 0.1202 0.0000 0.5048 x4  2 Sm 3.34, 2 Ga 3.35
I 0.1202 0.5000 0.0049 x4  2 Ga 3.34, 2 Sm 3.35

6.
NaTa4O8: optimized geometry, GGA-PBE.

Properties
E = -0.6759 Ry/atom
size of the total moment = 0.0000 μB per atom
N(E_F) = 0.238 states/eV/atom
calculated volume = 330 Å³ per cell
crystal system = monoclinic
energy above the most stable polymorph in this dataset = 251 kJ/mol of formula units
uncorrected formation energy = -2.396 eV per atom

abc: 14.5620 2.9572 10.3851
angles: 90.00 132.48 90.00
Last column: nearest neighbours and their distance in Å.
Space group Cm (No. 8)
Symmetry-distinct sites (fractional):
Na 0.0000 0.0000 0.0000 x2  4 O 2.60-2.63
Ta 0.1759 0.5000 0.5439 x2  6 O 1.93-2.12
Ta 0.1828 0.0000 0.8844 x2  6 O 2.13-2.21
Ta 0.3518 0.5000 0.1741 x2  6 O 2.14-2.23
Ta 0.3589 0.0000 0.5148 x2  6 O 1.92-2.11
O 0.0486 0.0000 0.3927 x2  3 Ta 2.04-2.14
O 0.1446 0.5000 0.9908 x2  3 Ta 2.13-2.23
O 0.1759 0.5000 0.7296 x2  3 Ta 1.93-2.14
O 0.2206 0.5000 0.3916 x2  3 Ta 2.08-2.10
O 0.3170 0.0000 0.6733 x2  3 Ta 2.11-2.12
O 0.3590 0.0000 0.3297 x2  3 Ta 1.92-2.14
O 0.3883 0.0000 0.0644 x2  3 Ta 2.14-2.21
O 0.4857 0.5000 0.6662 x2  3 Ta 2.04-2.14

7.
NdTcBi2O8: optimized geometry, GGA-PBE.

Properties
E = -0.5035 Ry/atom
size of the total moment = 0.0000 μB per atom
N(E_F) = 0.032 states/eV/atom
calculated volume = 188 Å³ per cell
crystal system = monoclinic
uncorrected formation energy = -1.637 eV per atom

abc: 5.2421 6.8351 5.2430
angles: 90.00 91.58 90.00
Last column: nearest neighbours and their distance in Å.
Space group P2/m (No. 10)
Symmetry-distinct sites (fractional):
Nd 0.0000 0.0000 0.0000 x1  6 O 2.37-2.38
Tc 0.0000 0.5000 0.0000 x1  6 O 1.85-1.96
Bi 0.5000 0.2530 0.5000 x2  4 O 2.22-2.34
O 0.1828 0.2894 0.1804 x4  1 Tc 1.96
O 0.2440 0.5000 0.7525 x2  1 Tc 1.85
O 0.3143 0.0000 0.6835 x2  2 Bi 2.22, 1 Nd 2.37

8.
YMg3: optimized geometry, GGA-PBE.

Properties
E = -0.2076 Ry/atom
size of the total moment = 0.0000 μB per atom
N(E_F) = 0.626 states/eV/atom
calculated volume = 205 Å³ per cell
crystal system = orthorhombic

abc: 4.1816 5.1025 9.6048
angles: 90.00 90.00 90.00
Last column: nearest neighbours and their distance in Å.
Space group Immm (No. 71)
Symmetry-distinct sites (fractional):
Y 0.0000 0.0000 0.0000 x2  12 Mg 3.27-3.43
Mg 0.0000 0.0000 0.5000 x2  4 Mg 3.10, 4 Y 3.30
Mg 0.0000 0.5000 0.2383 x4  6 Mg 3.10-3.31, 4 Y 3.27-3.43

9.
NaNp2CuTe4: optimized geometry, GGA-PBE.

Properties
E = -0.4483 Ry/atom
size of the total moment = 1.0000 μB per atom
N(E_F) = 2.665 states/eV/atom
calculated volume = 974 Å³ per cell
crystal system = orthorhombic
uncorrected formation energy = -0.616 eV per atom

abc: 4.3291 14.6551 15.3591
angles: 90.00 90.00 90.00
Last column: nearest neighbours and their distance in Å.
Space group Cmcm (No. 63)
Symmetry-distinct sites (fractional):
Na 0.0000 0.1195 0.2500 x4  6 Te 3.32-3.33
Np 0.0000 0.3645 0.0661 x8  6 Te 3.07-3.13
Cu 0.0000 0.1554 0.7500 x4  4 Te 2.64-2.67
Te 0.0000 0.0000 0.0000 x4  4 Np 3.11
Te 0.0000 0.2753 0.6192 x8  1 Cu 2.67
Te 0.0000 0.4473 0.2500 x4  2 Cu 2.64

10.
SrZn8Cu4: optimized geometry, GGA-PBE.

Properties
E = -0.1695 Ry/atom
size of the total moment = 0.0000 μB per atom
N(E_F) = 0.461 states/eV/atom
calculated volume = 405 Å³ per cell
crystal system = tetragonal

abc: 9.0219 9.0219 4.9719
angles: 90.00 90.00 90.00
Last column: nearest neighbours and their distance in Å.
Space group I4/mmm (No. 139)
Symmetry-distinct sites (fractional):
Sr 0.0000 0.0000 0.0000 x2  12 Zn 3.18-3.24, 8 Cu 3.42
Zn 0.0000 0.2300 0.5000 x8  4 Cu 2.58, 4 Zn 2.72-2.78
Zn 0.0000 0.3525 0.0000 x8  5 Zn 2.66-2.78, 4 Cu 2.74
Cu 0.2500 0.2500 0.2500 x8  2 Cu 2.49, 8 Zn 2.58-2.74

11.
PuCdIn4: optimized geometry, GGA-PBE.

Properties
E = -0.3172 Ry/atom
size of the total moment = 1.0617 μB per atom
N(E_F) = 2.601 states/eV/atom
calculated volume = 646 Å³ per cell
crystal system = cubic
energy above the most stable polymorph in this dataset = 59 kJ/mol of formula units

abc: 8.6426 8.6426 8.6426
angles: 90.00 90.00 90.00
Last column: nearest neighbours and their distance in Å.
Space group F-43m (No. 216)
Symmetry-distinct sites (fractional):
Pu 0.0000 0.0000 0.0000 x4  12 In 3.58, 4 Cd 3.74
Cd 0.2500 0.2500 0.2500 x4  12 In 3.58, 4 Pu 3.74
In 0.1252 0.1252 0.6252 x16  6 In 3.05-3.06

12.
RbGa3Co: optimized geometry, GGA-PBE.

Properties
E = -0.1206 Ry/atom
size of the total moment = 0.3262 μB per atom
N(E_F) = 1.428 states/eV/atom
calculated volume = 202 Å³ per cell
crystal system = cubic
energy above the most stable polymorph in this dataset = 907 kJ/mol of formula units

abc: 5.8680 5.8680 5.8680
angles: 90.00 90.00 90.00
Last column: nearest neighbours and their distance in Å.
Space group Pm-3m (No. 221)
Symmetry-distinct sites (fractional):
Rb 0.0000 0.0000 0.0000 x1  6 Ga 2.93
Ga 0.0000 0.0000 0.5000 x3  2 Rb 2.93
Co 0.5000 0.5000 0.5000 x1  12 Ga 4.15